(1)
The following is a GGA-PBE calculation of an optimized crystal structure of SrCa2Cl, from Alexandria.

Values from the calculation:
space group	No. 119
crystal system	tetragonal
distance to the lowest polymorph of the same formula	430	meV/atom

abc: 7.1789 7.1789 7.1789
angles: 138.69 138.69 59.84
Element x y z (fractional)
Sr (0.0000, 0.0000, 0.0000)
Ca (0.2500, 0.7500, 0.5000)
Ca (0.5000, 0.5000, 0.0000)
Cl (0.7500, 0.2500, 0.5000)

=====

(2)
The following is a GGA-PBE calculation of an optimized crystal structure of TePBr2, from Alexandria.

Values from the calculation:
space group	No. 123
crystal system	tetragonal
distance to the lowest polymorph of the same formula	838	meV/atom

abc: 4.6159 4.6159 4.4673
angles: 90.00 90.00 90.00
Element x y z (fractional)
Te (0.0000, 0.0000, 0.0000)
P (0.5000, 0.5000, 0.0000)
Br (0.0000, 0.5000, 0.5000)
Br (0.5000, 0.0000, 0.5000)

=====

(3)
The following is a GGA-PBE calculation of an optimized crystal structure of ThAl2Pd3, from Alexandria.

Values from the calculation:
space group	No. 63
crystal system	orthorhombic
energy relative to the elements	-0.8401	eV per atom

abc: 6.4583 6.4583 5.4276
angles: 90.00 90.00 80.18
Element x y z (fractional)
Th (0.1862, 0.8138, 0.7500)
Th (0.8138, 0.1862, 0.2500)
Al (0.2800, 0.2800, 0.0000)
Al (0.2800, 0.2800, 0.5000)
Al (0.7200, 0.7200, 0.0000)
Al (0.7200, 0.7200, 0.5000)
Pd (0.0447, 0.6192, 0.2500)
Pd (0.3808, 0.9553, 0.2500)
Pd (0.4704, 0.5296, 0.2500)
Pd (0.5296, 0.4704, 0.7500)
Pd (0.6192, 0.0447, 0.7500)
Pd (0.9553, 0.3808, 0.7500)

=====

(4)
The following is a GGA-PBE calculation of an optimized crystal structure of NiH6Pd3, from Alexandria.

Values from the calculation:
space group	No. 2
DFT total energy	-4.163	eV/atom
crystal system	triclinic

abc: 2.8601 5.5518 11.1134
angles: 86.75 82.76 75.29
Element x y z (fractional)
Ni (0.0394, 0.1034, 0.3163)
Ni (0.9606, 0.8966, 0.6837)
H (0.1218, 0.4277, 0.8318)
H (0.1496, 0.5770, 0.6063)
H (0.2035, 0.8775, 0.2163)
H (0.3263, 0.8375, 0.0053)
H (0.4547, 0.9886, 0.6049)
H (0.4697, 0.7971, 0.7645)
H (0.5303, 0.2029, 0.2355)
H (0.5453, 0.0114, 0.3951)
H (0.6737, 0.1625, 0.9947)
H (0.7965, 0.1225, 0.7837)
H (0.8504, 0.4230, 0.3937)
H (0.8782, 0.5723, 0.1682)
Pd (0.2517, 0.1021, 0.8950)
Pd (0.3459, 0.5390, 0.2695)
Pd (0.3523, 0.2695, 0.5158)
Pd (0.6477, 0.7305, 0.4842)
Pd (0.6541, 0.4610, 0.7305)
Pd (0.7483, 0.8979, 0.1050)

=====

(5)
The following is a GGA-PBE calculation of an optimized crystal structure of Si2AuSe, from Alexandria.

Values from the calculation:
space group	No. 99
DFT total energy	-4.018	eV/atom
crystal system	tetragonal

abc: 3.2355 3.2355 7.4375
angles: 90.00 90.00 90.00
Element x y z (fractional)
Si (0.0000, 0.0000, 0.0000)
Si (0.5000, 0.5000, 0.3031)
Au (0.0000, 0.0000, 0.4776)
Se (0.5000, 0.5000, 0.8386)

=====

(6)
The following is a GGA-PBE calculation of an optimized crystal structure of Ce5URu4, from Alexandria.

Values from the calculation:
space group	No. 12
crystal system	monoclinic
energy relative to the elements	-0.2776	eV per atom

abc: 7.9887 7.9887 6.9247
angles: 103.88 103.88 31.47
Element x y z (fractional)
Ce (0.0000, 0.0000, 0.0000)
Ce (0.3141, 0.3141, 0.5054)
Ce (0.3310, 0.3310, 0.9357)
Ce (0.6690, 0.6690, 0.0643)
Ce (0.6859, 0.6859, 0.4946)
U (0.0000, 0.0000, 0.5000)
Ru (0.1553, 0.1553, 0.7621)
Ru (0.4860, 0.4860, 0.2828)
Ru (0.5140, 0.5140, 0.7172)
Ru (0.8447, 0.8447, 0.2379)

=====

(7)
The following is a GGA-PBE calculation of an optimized crystal structure of Rb2MgNbI6, from Alexandria.

Values from the calculation:
space group	No. 225
DFT total energy	-3.146	eV/atom
crystal system	cubic

abc: 8.2998 8.2998 8.2998
angles: 60.00 60.00 60.00
Element x y z (fractional)
Rb (0.2500, 0.2500, 0.2500)
Rb (0.7500, 0.7500, 0.7500)
Mg (0.0000, 0.0000, 0.0000)
Nb (0.5000, 0.5000, 0.5000)
I (0.2504, 0.2504, 0.7496)
I (0.2504, 0.7496, 0.2504)
I (0.2504, 0.7496, 0.7496)
I (0.7496, 0.2504, 0.2504)
I (0.7496, 0.2504, 0.7496)
I (0.7496, 0.7496, 0.2504)

=====

(8)
The following is a GGA-PBE calculation of an optimized crystal structure of HfZr8Bi2, from Alexandria.

Values from the calculation:
space group	No. 12
crystal system	monoclinic
energy relative to the elements	0.0020	eV per atom

abc: 7.9367 7.9367 5.4638
angles: 102.30 102.30 120.30
Element x y z (fractional)
Hf (0.0000, 0.0000, 0.0000)
Zr (0.0979, 0.3110, 0.6485)
Zr (0.2142, 0.7858, 0.0000)
Zr (0.3110, 0.0979, 0.6485)
Zr (0.3984, 0.3984, 0.1915)
Zr (0.6016, 0.6016, 0.8085)
Zr (0.6890, 0.9021, 0.3515)
Zr (0.7858, 0.2142, 0.0000)
Zr (0.9021, 0.6890, 0.3515)
Bi (0.3035, 0.6965, 0.5000)
Bi (0.6965, 0.3035, 0.5000)

=====

(9)
The following is a GGA-PBE calculation of an optimized crystal structure of ReTeCl2, from Alexandria.

Values from the calculation:
space group	No. 35
crystal system	orthorhombic
distance to the lowest polymorph of the same formula	536	meV/atom

abc: 3.2444 3.2444 9.4873
angles: 90.00 90.00 121.11
Element x y z (fractional)
Re (0.0000, 0.0000, 0.0000)
Te (0.5000, 0.5000, 0.7599)
Cl (0.0000, 0.0000, 0.5117)
Cl (0.5000, 0.5000, 0.1900)

=====

(10)
The following is a GGA-PBE calculation of an optimized crystal structure of Tb2TlZn2, from Alexandria.

Values from the calculation:
space group	No. 71
crystal system	orthorhombic
energy relative to the elements	-0.2709	eV per atom

abc: 5.8586 5.8586 5.8586
angles: 136.85 118.52 78.06
Element x y z (fractional)
Tb (0.2117, 0.2117, 0.0000)
Tb (0.7883, 0.7883, 0.0000)
Tl (0.5000, 0.0000, 0.5000)
Zn (0.2059, 0.5000, 0.7059)
Zn (0.7941, 0.5000, 0.2941)

=====

| no. | size of the total moment (μB/f.u.) | DOS at the Fermi energy (states/eV per atom) |
| --- | --- | --- |
| 1 | 0.0 | 1.031 |
| 2 | 0.1 | 1.056 |
| 3 | 0.0 | 0.379 |
| 4 | 0.0 | 0.236 |
| 5 | 0.0 | 0.499 |
| 6 | 0.0 | 1.610 |
| 7 | 3.0 | 0.100 |
| 8 | 0.0 | 1.130 |
| 9 | 0.7 | 0.826 |
| 10 | 0.0 | 0.854 |